[1]
# LaReIr2

LaReIr2 after structural relaxation (PBE, Alexandria via LeMat-Bulk).

Values from the calculation:
For the energy above the most stable polymorph in this dataset, the calculation gives 531.5 meV/atom. The formation energy comes out at 1.7 eV/f.u.

a = 2.8539 Å, b = 2.8539 Å, c = 29.8376 Å
α = 90.00°, β = 90.00°, γ = 120.00°
Space group R3m (No. 160, hexagonal axes)
One atom of each set of equivalent atoms:
La 0.0000 0.0000 0.0000 [3 per cell]
Re 0.0000 0.0000 0.2362 [3 per cell]
Ir 0.0000 0.0000 0.5003 [3 per cell]
Ir 0.0000 0.0000 0.7574 [3 per cell]


[2]
# La4ReIr

La4ReIr after structural relaxation (PBE, Alexandria via LeMat-Bulk).

Values from the calculation:
The formation energy comes out at 6.4 eV/f.u.

a = 8.514 Å, b = 8.514 Å, c = 8.514 Å
α = 90.00°, β = 90.00°, γ = 90.00°
Space group F-43m (No. 216)
One atom of each set of equivalent atoms:
La 0.125 0.125 0.125 [16 per cell]
Re 0.250 0.250 0.750 [4 per cell]
Ir 0.000 0.000 0.500 [4 per cell]


[3]
# LaReIr2

LaReIr2 after structural relaxation (PBE, Alexandria via LeMat-Bulk).

Values from the calculation:
For the energy above the most stable polymorph in this dataset, the calculation gives 199.9 meV/atom. The formation energy comes out at 0.4 eV/f.u.

a = 9.641 Å, b = 2.933 Å, c = 5.445 Å
α = 90.00°, β = 101.31°, γ = 90.00°
Space group Cm (No. 8)
One atom of each set of equivalent atoms:
La 0.000 0.000 0.000 [2 per cell]
Re 0.270 0.500 0.361 [2 per cell]
Ir 0.234 0.000 0.734 [2 per cell]
Ir 0.498 0.000 0.479 [2 per cell]


[4]
# LaReIr

LaReIr after structural relaxation (PBE, Alexandria via LeMat-Bulk).

Values from the calculation:
For the energy above the most stable polymorph in this dataset, the calculation gives 605.1 meV/atom. The formation energy comes out at 1.4 eV/f.u.

a = 2.9001 Å, b = 2.9001 Å, c = 7.7448 Å
α = 90.00°, β = 90.00°, γ = 120.00°
Space group P3m1 (No. 156)
One atom of each set of equivalent atoms:
La 0.0000 0.0000 0.0000 [1 per cell]
Re 0.6667 0.3333 0.3720 [1 per cell]
Ir 0.3333 0.6667 0.6358 [1 per cell]